A plane-wave DFT calculation with PBE-GGA was carried out for a relaxed structure of TaTl2H.

Cell lengths 4.8714, 4.8714, 4.8714 Å; angles 60.00, 60.00, 60.00 degrees
Each line ends with the local moment (μB).
Sites, in units of the cell vectors:
Tl (0.2500, 0.2500, 0.2500)  0.03
Tl (0.7500, 0.7500, 0.7500)  0.03
Ta (0.5000, 0.5000, 0.5000)  1.15
H (0.0000, 0.0000, 0.0000)  0.06

Calculated values
- Energy above the lowest structure with this stoichiometry: 400 meV/atom
- M_tot: 1.835 μB/f.u.
- DOS at the Fermi energy: 1.395 states/eV per atom

A plane-wave DFT calculation with PBE-GGA was carried out for a relaxed structure of SrTl2Sb.

Cell lengths 6.1371, 6.1371, 6.1371 Å; angles 131.77, 131.77, 70.59 degrees
Sites, in units of the cell vectors:
Sr (0.7500, 0.2500, 0.5000)
Tl (0.2500, 0.7500, 0.5000)
Tl (0.0000, 0.0000, 0.0000)
Sb (0.5000, 0.5000, 0.0000)

Calculated values
- Raw formation energy: -0.384 eV per atom
- Energy above the lowest structure with this stoichiometry: 57 meV/atom
- M_tot: 0.000 μB/f.u.
- DOS at the Fermi energy: 0.516 states/eV per atom

A plane-wave DFT calculation with PBE-GGA was carried out for a relaxed structure of Cs2NaCuTc.

Cell lengths 6.7023, 5.5727, 6.7023 Å; angles 90.00, 90.00, 90.00 degrees
Each line ends with the local moment (μB).
Sites, in units of the cell vectors:
Cs (0.5000, 0.0000, 0.0000)  -0.01
Cs (0.0000, 0.0000, 0.5000)  0.00
Tc (0.5000, 0.5000, 0.5000)  3.31
Cu (0.0000, 0.0000, 0.0000)  0.00
Na (0.0000, 0.5000, 0.0000)  0.00

Calculated values
- M_tot: 3.774 μB/f.u.
- ΔH_f (0 K): 6.13 eV/f.u.
- DOS at the Fermi energy: 1.067 states/eV per atom

A plane-wave DFT calculation with PBE-GGA was carried out for a relaxed structure of Li2LaW.

Cell lengths 5.4177, 5.4177, 5.4177 Å; angles 134.48, 134.48, 66.34 degrees
Sites, in units of the cell vectors:
La (0.7500, 0.2500, 0.5000)
W (0.2500, 0.7500, 0.5000)
Li (0.5000, 0.5000, 0.0000)
Li (0.0000, 0.0000, 0.0000)

Calculated values
- Energy above the lowest structure with this stoichiometry: 222 meV/atom
- M_tot: 0.000 μB/f.u.
- ΔH_f (0 K): 2.89 eV/f.u.
- DOS at the Fermi energy: 1.382 states/eV per atom

A plane-wave DFT calculation with PBE-GGA was carried out for a relaxed structure of Mn3ZnTe.

Cell lengths 4.9590, 4.9590, 4.9590 Å; angles 90.00, 90.00, 90.00 degrees
Each line ends with the local moment (μB).
Sites, in units of the cell vectors:
Mn (0.0000, 0.5000, 0.0000)  3.63
Mn (0.0000, 0.0000, 0.5000)  3.54
Mn (0.5000, 0.0000, 0.0000)  3.82
Te (0.0000, 0.0000, 0.0000)  -0.09
Zn (0.5000, 0.5000, 0.5000)  0.02

Calculated values
- Raw formation energy: 1.018 eV per atom
- Energy above the lowest structure with this stoichiometry: 325 meV/atom
- M_tot: 11.093 μB/f.u.
- DOS at the Fermi energy: 0.318 states/eV per atom

A plane-wave DFT calculation with PBE-GGA was carried out for a relaxed structure of AlAs2P.

Cell lengths 4.6144, 4.6144, 4.6144 Å; angles 60.00, 60.00, 60.00 degrees
Sites, in units of the cell vectors:
Al (0.0000, 0.0000, 0.0000)
As (0.2500, 0.2500, 0.2500)
As (0.7500, 0.7500, 0.7500)
P (0.5000, 0.5000, 0.5000)

Calculated values
- Energy above the lowest structure with this stoichiometry: 477 meV/atom
- M_tot: 0.000 μB/f.u.
- ΔH_f (0 K): 1.59 eV/f.u.
- DOS at the Fermi energy: 0.430 states/eV per atom

A plane-wave DFT calculation with PBE-GGA was carried out for a relaxed structure of Tm2Np5S12.

Cell lengths 7.7962, 8.0403, 9.4029 Å; angles 107.68, 90.00, 119.00 degrees
Each line ends with the local moment (μB).
Sites, in units of the cell vectors:
Tm (0.2464, 0.0000, 0.0000)  -0.01
Tm (0.7536, 0.0000, 0.0000)  -0.01
Np (0.7343, 0.4687, 0.9605)  -3.59
Np (0.6941, 0.3882, 0.3828)  3.52
Np (0.2657, 0.5313, 0.0395)  -3.59
Np (0.3059, 0.6118, 0.6172)  3.52
Np (0.0000, 0.0000, 0.5000)  -3.23
S (0.4718, 0.3962, 0.1523)  0.05
S (0.6366, 0.7233, 0.4891)  -0.01
S (0.0868, 0.7233, 0.4891)  -0.01
S (0.0755, 0.6038, 0.8477)  0.05
S (0.3634, 0.2767, 0.5109)  -0.01
S (0.5282, 0.6038, 0.8477)  0.05
S (0.9245, 0.3962, 0.1523)  0.05
S (0.9393, 0.8785, 0.1588)  0.04
S (0.4776, 0.9553, 0.1842)  0.01
S (0.9132, 0.2767, 0.5109)  -0.01
S (0.5224, 0.0447, 0.8158)  0.01
S (0.0607, 0.1215, 0.8412)  0.04

Calculated values
- Raw formation energy: -1.401 eV per atom
- M_tot: 3.225 μB/f.u.
- DOS at the Fermi energy: 2.174 states/eV per atom

A plane-wave DFT calculation with PBE-GGA was carried out for a relaxed structure of Ho3ErCd6.

Cell lengths 5.1300, 9.1411, 10.9814 Å; angles 105.43, 90.00, 90.00 degrees
Sites, in units of the cell vectors:
Cd (0.2500, 0.0513, 0.8973)
Cd (0.7500, 0.1489, 0.6935)
Cd (0.2500, 0.1439, 0.1927)
Cd (0.7500, 0.7603, 0.5042)
Cd (0.2500, 0.2397, 0.4958)
Cd (0.2500, 0.6599, 0.7066)
Cd (0.7500, 0.5498, 0.9054)
Cd (0.2500, 0.8511, 0.3065)
Cd (0.7500, 0.8561, 0.8073)
Cd (0.7500, 0.9487, 0.1027)
Cd (0.7500, 0.3401, 0.2934)
Cd (0.2500, 0.4502, 0.0946)
Er (0.7500, 0.0545, 0.3945)
Er (0.2500, 0.9455, 0.6055)
Ho (0.2500, 0.5303, 0.3938)
Ho (0.7500, 0.2404, 0.9981)
Ho (0.7500, 0.4697, 0.6062)
Ho (0.7500, 0.6495, 0.2077)
Ho (0.2500, 0.3505, 0.7923)
Ho (0.2500, 0.7596, 0.0019)

Calculated values
- M_tot: 0.000 μB/f.u.
- ΔH_f (0 K): -2.83 eV/f.u.
- DOS at the Fermi energy: 0.708 states/eV per atom